(1)
Cs2InBr | PBE | optimized geometry

relative energy among the computed polymorphs	51	meV per atom
formation energy from raw total energies	-0.522	eV per atom
SG	Fm-3m
crystal system	cubic

Unit cell a=9.2944 b=9.2944 c=9.2944 alpha=90.00 beta=90.00 gamma=90.00
Fractional positions:
Cs 0.2500 0.2500 0.2500
Cs 0.2500 0.2500 0.7500
Cs 0.2500 0.7500 0.2500
Cs 0.2500 0.7500 0.7500
Cs 0.7500 0.2500 0.2500
Cs 0.7500 0.2500 0.7500
Cs 0.7500 0.7500 0.2500
Cs 0.7500 0.7500 0.7500
In 0.0000 0.0000 0.0000
In 0.0000 0.5000 0.5000
In 0.5000 0.0000 0.5000
In 0.5000 0.5000 0.0000
Br 0.0000 0.0000 0.5000
Br 0.0000 0.5000 0.0000
Br 0.5000 0.0000 0.0000
Br 0.5000 0.5000 0.5000

(2)
CsInBr3 | PBE | optimized geometry

formation energy from raw total energies	-1.218	eV per atom
SG	P1
crystal system	triclinic

Unit cell a=7.1076 b=7.6899 c=9.9497 alpha=70.23 beta=73.88 gamma=81.87
Fractional positions:
Cs 0.0000 0.0000 0.0000
Cs 0.1257 0.3365 0.3779
In 0.6314 0.5719 0.9549
In 0.6413 0.8304 0.6763
Br 0.2901 0.9121 0.6348
Br 0.4320 0.7299 0.1515
Br 0.4988 0.2433 0.0659
Br 0.7275 0.1457 0.6866
Br 0.8750 0.7994 0.4324
Br 0.9772 0.4967 0.0169

The highest formation energy from raw total energies belongs to which entry?
Cs2InBr